VASP calculation (PBE) on a geometry-optimized LiCdAg2F8 structure.

Cell and atoms, written as POSCAR:
```
LiCdAg2F8
1.0
-2.677 2.677 5.376
2.677 -2.677 5.376
2.677 2.677 -5.376
Li Cd Ag F
1 1 2 8
Direct
0.000 0.000 0.000
0.750 0.250 0.500
0.250 0.750 0.500
0.500 0.500 0.000
0.130 0.122 0.498
0.131 0.628 0.008
0.368 0.870 0.993
0.372 0.380 0.503
0.620 0.124 0.992
0.625 0.632 0.502
0.876 0.869 0.497
0.878 0.375 0.007
```

Calculated values
- ΔE_f (raw): -1.547 eV/atom
- Size of the total moment: 3.0 μB per cell
- DOS(E_F): 0.514 states/eV/atom
- Total DFT energy (no corrections): -42.06 eV per cell

***

VASP calculation (PBE) on a geometry-optimized LiCdAgF6 structure.

Cell and atoms, written as POSCAR:
```
LiCdAgF6
1.0
4.987 0.000 0.000
0.000 4.987 0.000
0.000 0.000 10.059
Li Cd Ag F
2 2 2 12
Direct
0.000 0.000 0.000
0.500 0.500 0.500
0.000 0.000 0.333
0.500 0.500 0.833
0.000 0.000 0.667
0.500 0.500 0.167
0.184 0.184 0.836
0.199 0.199 0.158
0.201 0.201 0.509
0.299 0.701 0.009
0.301 0.699 0.658
0.316 0.684 0.336
0.684 0.316 0.336
0.699 0.301 0.658
0.701 0.299 0.009
0.799 0.799 0.509
0.801 0.801 0.158
0.816 0.816 0.836
```

Calculated values
- ΔE_f (raw): -1.816 eV/atom
- Size of the total moment: 4.0 μB per cell
- DOS(E_F): 0.013 states/eV/atom
- Total DFT energy (no corrections): -66.51 eV per cell

***

VASP calculation (PBE) on a geometry-optimized MgCdAgF6 structure.

Cell and atoms, written as POSCAR:
```
MgCdAgF6
1.0
4.971 0.000 0.000
0.000 4.971 0.000
0.000 0.000 10.354
Mg Cd Ag F
2 2 2 12
Direct
0.000 0.000 0.000
0.500 0.500 0.500
0.000 0.000 0.337
0.500 0.500 0.837
0.000 0.000 0.666
0.500 0.500 0.166
0.187 0.187 0.852
0.190 0.190 0.155
0.216 0.216 0.500
0.284 0.716 0.000
0.310 0.690 0.655
0.313 0.687 0.352
0.687 0.313 0.352
0.690 0.310 0.655
0.716 0.284 0.000
0.784 0.784 0.500
0.810 0.810 0.155
0.813 0.813 0.852
```

Calculated values
- ΔE_f (raw): -2.244 eV/atom
- Size of the total moment: 2.0 μB per cell
- DOS(E_F): 0.531 states/eV/atom
- Total DFT energy (no corrections): -73.57 eV per cell